The following is a DFT calculation (PBE) of a geometry-optimized Ho3Sn2Ru3C structure.

Results
V (Å³/f.u.): 171
Crystal system: hexagonal
Mass density (g cm⁻³): 10.2
Magnetization (Bohr magnetons per cell): 0.00
D(E_F) (states/eV per cell): 3.33
Energy of formation from the pure elements (meV/atom): -275.8

Cell: 7.4190 7.4190 3.5797 Å, 90.00 90.00 120.00°
With the nearest neighbours (Å) after each atom.
Space group P-62m (No. 189)
Inequivalent atoms, fractional coordinates:
Ho 0.0000 0.6510 0.0000 (multiplicity 3)  1 C 2.59, 4 Ru 2.88
Sn 0.3333 0.6667 0.5000 (multiplicity 2)  6 Ho 3.01, 3 Ru 3.02
Ru 0.0000 0.2124 0.5000 (multiplicity 3)  2 C 2.38
C 0.0000 0.0000 0.0000 (multiplicity 1)  6 Ru 2.38, 3 Ho 2.59